# 1
# Dy4Y2Th5 PBE relaxed
# - E_tot (eV/cell) = -66.973
# - calculated volume (Å³/atom) = 32.333
# - M_tot (μB per atom) = 0.000
# - mass density (g/cm³) = 9.282
# - Fermi-level density of states (states/eV/f.u.) = 18.0
data_Dy4Y2Th5
_chemical_formula_sum 'Dy4 Y2 Th5'
_symmetry_space_group_name_H-M 'P 1 2/m 1'
_symmetry_Int_Tables_number 10
_cell_length_a 8.817
_cell_length_b 3.469
_cell_length_c 11.666
_cell_angle_alpha 90.00
_cell_angle_beta 94.61
_cell_angle_gamma 90.00
loop_
_symmetry_equiv_pos_as_xyz
'x,y,z'
'-x,-y,-z'
'-x,y,-z'
'x,-y,z'
loop_
_atom_site_label
_atom_site_fract_x
_atom_site_fract_y
_atom_site_fract_z
Dy1 0.160 0.000 0.401
Dy2 0.296 0.000 0.946
Y1 0.057 0.500 0.136
Th1 0.204 0.500 0.673
Th2 0.428 0.500 0.211
Th3 0.500 0.500 0.500

# 2
# Dy3Y5Th PBE relaxed
# - E_tot (eV/cell) = -106.007
# - calculated volume (Å³/atom) = 31.934
# - M_tot (μB per atom) = 0.000
# - mass density (g/cm³) = 6.726
# - Fermi-level density of states (states/eV/f.u.) = 16.1
data_Dy3Y5Th
_chemical_formula_sum 'Dy6 Y10 Th2'
_symmetry_space_group_name_H-M 'P 63/m c m'
_symmetry_Int_Tables_number 193
_symmetry_space_group_name_Hall '-P 6c 2'
_cell_length_a 9.7343
_cell_length_b 9.7343
_cell_length_c 7.0047
_cell_angle_alpha 90.00
_cell_angle_beta 90.00
_cell_angle_gamma 120.00
loop_
_atom_site_label
_atom_site_fract_x
_atom_site_fract_y
_atom_site_fract_z
Dy1 0.0000 0.3328 0.2500
Y1 0.0000 0.3322 0.7500
Y2 0.3333 0.6667 0.0000
Th1 0.0000 0.0000 0.0000

# 3
# Dy5Y4Th2 PBE relaxed
# - E_tot (eV/cell) = -116.326
# - calculated volume (Å³/atom) = 35.085
# - M_tot (μB per atom) = 0.027
# - excess energy over the best structure of this formula in the dataset (meV/atom) = 367.1
# - mass density (g/cm³) = 7.023
# - Fermi-level density of states (states/eV/f.u.) = 18.3
data_Dy5Y4Th2
_chemical_formula_sum 'Dy10 Y8 Th4'
_symmetry_space_group_name_H-M 'I m m m'
_symmetry_Int_Tables_number 71
_symmetry_space_group_name_Hall '-I 2 2'
_cell_length_a 3.418
_cell_length_b 9.197
_cell_length_c 24.555
_cell_angle_alpha 90.00
_cell_angle_beta 90.00
_cell_angle_gamma 90.00
loop_
_atom_site_label
_atom_site_fract_x
_atom_site_fract_y
_atom_site_fract_z
Dy1 0.000 0.000 0.000
Dy2 0.000 0.178 0.344
Y1 0.000 0.184 0.500
Y2 0.000 0.500 0.260
Th1 0.000 0.500 0.393

# 4
# Dy4Y8Th PBE relaxed
# - E_tot (eV/cell) = -221.571
# - calculated volume (Å³/atom) = 33.759
# - M_tot (μB per atom) = 0.000
# - mass density (g/cm³) = 6.029
# - Fermi-level density of states (states/eV/f.u.) = 18.3
data_Dy4Y8Th
_chemical_formula_sum 'Dy12 Y24 Th3'
_symmetry_space_group_name_H-M 'R -3 m'
_symmetry_Int_Tables_number 166
_symmetry_space_group_name_Hall '-R 3 2"'
_cell_length_a 6.9201
_cell_length_b 6.9201
_cell_length_c 31.7468
_cell_angle_alpha 90.00
_cell_angle_beta 90.00
_cell_angle_gamma 120.00
loop_
_atom_site_label
_atom_site_fract_x
_atom_site_fract_y
_atom_site_fract_z
Dy1 0.0000 0.0000 0.0000
Dy2 0.0000 0.5000 0.0000
Y1 0.0000 0.0000 0.1997
Y2 0.0076 0.5038 0.7550
Th1 0.0000 0.0000 0.5000

Question: Which of these has the lowest Fermi-level density of states?
Answer: Dy3Y5Th

Question: Look up the calculated volume of the first one.
Answer: 32.333 Å³/atom